DFT (PBE) results for an optimized crystal structure of SnHg5Au3.

Unit cell a=7.0328 b=7.0328 c=10.8054 alpha=104.88 beta=104.88 gamma=94.67
Atoms (fractional coordinates):
1 Sn 0.7533 0.7533 0.7505
2 Sn 0.2467 0.2467 0.2495
3 Hg 0.2053 0.6839 0.3202
4 Hg 0.2657 0.7343 0.0000
5 Hg 0.7699 0.7699 0.1067
6 Hg 0.7341 0.7341 0.3957
7 Hg 0.2659 0.2659 0.6043
8 Hg 0.2301 0.2301 0.8933
9 Hg 0.6839 0.2053 0.3202
10 Hg 0.7343 0.2657 0.0000
11 Hg 0.7947 0.3161 0.6798
12 Hg 0.3161 0.7947 0.6798
13 Au 0.5178 0.5178 0.8540
14 Au 0.0198 0.0198 0.3570
15 Au 0.0000 0.0000 0.0000
16 Au 0.5000 0.5000 0.5000
17 Au 0.4822 0.4822 0.1460
18 Au 0.9802 0.9802 0.6430

energy relative to the elements	0.47	eV per formula unit
total energy	-29.74	eV per cell
magnetization	0.0000	μB/atom
volume	27.386	Å³ per atom
SG	C2/m (12)



DFT (PBE) results for an optimized crystal structure of Ac3CdIrPd.

Unit cell a=4.3965 b=9.8158 c=9.6681 alpha=108.36 beta=90.00 gamma=90.00
Atoms (fractional coordinates):
1 Ac 0.2500 0.7260 0.4968
2 Ac 0.7500 0.8710 0.1965
3 Ac 0.7500 0.4394 0.1441
4 Ac 0.7500 0.2740 0.5032
5 Ac 0.2500 0.5606 0.8559
6 Ac 0.2500 0.1290 0.8035
7 Cd 0.7500 0.8339 0.8041
8 Cd 0.2500 0.1661 0.1959
9 Ir 0.2500 0.6580 0.1796
10 Ir 0.7500 0.3420 0.8204
11 Pd 0.2500 0.0389 0.4263
12 Pd 0.7500 0.9611 0.5737

energy relative to the elements	-3.59	eV per formula unit
total energy	-61.77	eV per cell
magnetization	0.0000	μB/atom
volume	33.000	Å³ per atom
SG	P2_1/m (11)



DFT (PBE) results for an optimized crystal structure of FeCoRu.

Unit cell a=2.6132 b=2.6132 c=6.2306 alpha=90.00 beta=90.00 gamma=120.00
Site moments in Bohr magnetons follow the coordinates.
Atoms (fractional coordinates):
1 Co 0.0000 0.0000 0.0087  1.39
2 Fe 0.6667 0.3333 0.3256  2.31
3 Ru 0.3333 0.6667 0.6658  -0.16

energy relative to the elements	0.50	eV per formula unit
total energy	-24.34	eV per cell
magnetization	1.1699	μB/atom
volume	12.282	Å³ per atom
SG	P3m1 (156)
energy above the lowest structure with this stoichiometry	0.041	eV per atom



DFT (PBE) results for an optimized crystal structure of CeNi9Sn2.

Unit cell a=4.9379 b=4.9379 c=8.3840 alpha=72.87 beta=72.87 gamma=60.00
Atoms (fractional coordinates):
1 Ce 0.0000 0.0000 0.0000
2 Ni 0.6663 0.6663 0.0012
3 Ni 0.3337 0.3337 0.9988
4 Ni 0.5000 0.5000 0.5000
5 Ni 0.4131 0.4131 0.2553
6 Ni 0.9185 0.4131 0.2553
7 Ni 0.4131 0.9185 0.2553
8 Ni 0.5869 0.5869 0.7447
9 Ni 0.5869 0.0815 0.7447
10 Ni 0.0815 0.5869 0.7447
11 Sn 0.8613 0.8613 0.4162
12 Sn 0.1387 0.1387 0.5838

energy relative to the elements	-2.91	eV per formula unit
total energy	-68.88	eV per cell
magnetization	0.0006	μB/atom
volume	13.874	Å³ per atom
SG	R-3m (166)
energy above the lowest structure with this stoichiometry	0.011	eV per atom



DFT (PBE) results for an optimized crystal structure of RbYHgSe3.

Unit cell a=4.2882 b=9.1377 c=10.4234 alpha=108.79 beta=90.00 gamma=90.00
Atoms (fractional coordinates):
1 Rb 0.2500 0.2210 0.2468
2 Rb 0.7500 0.7790 0.7532
3 Y 0.2500 0.6706 0.1352
4 Y 0.7500 0.3294 0.8648
5 Hg 0.2500 0.0893 0.6148
6 Hg 0.7500 0.9107 0.3852
7 Se 0.7500 0.8889 0.1277
8 Se 0.2500 0.1111 0.8723
9 Se 0.2500 0.7638 0.4500
10 Se 0.7500 0.2362 0.5500
11 Se 0.7500 0.4655 0.1490
12 Se 0.2500 0.5345 0.8510

total energy	-50.81	eV per cell
magnetization	0.0000	μB/atom
volume	32.222	Å³ per atom
raw formation energy	-1203	meV per atom
SG	P2_1/m (11)



DFT (PBE) results for an optimized crystal structure of Pr3Mg3Zn2.

Unit cell a=3.9267 b=8.0077 c=8.0077 alpha=120.00 beta=90.00 gamma=90.00
Atoms (fractional coordinates):
1 Pr 0.5000 0.4103 0.4103
2 Pr 0.5000 0.5897 0.0000
3 Pr 0.5000 0.0000 0.5897
4 Mg 0.0000 0.7683 0.7683
5 Mg 0.0000 0.2317 0.0000
6 Mg 0.0000 0.0000 0.2317
7 Zn 0.0000 0.3333 0.6667
8 Zn 0.0000 0.6667 0.3333

energy relative to the elements	-1.14	eV per formula unit
total energy	-22.81	eV per cell
magnetization	0.0027	μB/atom
volume	27.257	Å³ per atom
SG	P-62m (189)
energy above the lowest structure with this stoichiometry	0.008	eV per atom



DFT (PBE) results for an optimized crystal structure of KTlCd2Se.

Unit cell a=5.9458 b=6.5331 c=5.9458 alpha=90.00 beta=90.00 gamma=90.00
Site moments in Bohr magnetons follow the coordinates.
Atoms (fractional coordinates):
1 Tl 0.0000 0.5000 0.0000  0.01
2 K 0.0000 0.0000 0.0000  0.00
3 Se 0.5000 0.5000 0.5000  -0.09
4 Cd 0.0000 0.0000 0.5000  0.00
5 Cd 0.5000 0.0000 0.0000  0.00

total energy	-5.71	eV per cell
magnetization	0.0213	μB/atom
volume	46.192	Å³ per atom
raw formation energy	613	meV per atom
SG	P4/mmm (123)
energy above the lowest structure with this stoichiometry	0.432	eV per atom



DFT (PBE) results for an optimized crystal structure of Tm5In2Ir2Rh.

Unit cell a=3.5234 b=11.4953 c=11.4953 alpha=90.00 beta=90.00 gamma=90.00
Atoms (fractional coordinates):
1 Tm 0.5000 0.1953 0.0667
2 Tm 0.5000 0.8047 0.9333
3 Tm 0.5000 0.0667 0.8047
4 Tm 0.5000 0.6953 0.4333
5 Tm 0.5000 0.9333 0.1953
6 Tm 0.5000 0.3047 0.5667
7 Tm 0.5000 0.5667 0.6953
8 Tm 0.5000 0.4333 0.3047
9 Tm 0.5000 0.5000 0.0000
10 Tm 0.5000 0.0000 0.5000
11 In 0.0000 0.6771 0.1771
12 In 0.0000 0.3229 0.8229
13 In 0.0000 0.1771 0.3229
14 In 0.0000 0.8229 0.6771
15 Ir 0.0000 0.1362 0.6362
16 Ir 0.0000 0.8638 0.3638
17 Ir 0.0000 0.6362 0.8638
18 Ir 0.0000 0.3638 0.1362
19 Rh 0.0000 0.0000 0.0000
20 Rh 0.0000 0.5000 0.5000

energy relative to the elements	-6.88	eV per formula unit
total energy	-119.58	eV per cell
magnetization	0.0000	μB/atom
volume	23.279	Å³ per atom
SG	P4/mbm (127)